No. 1
Here is ErSn2Ge2Pt7 after structural relaxation from the Alexandria database. Energies are from GGA-PBE.

- ΔE_f (eV per formula unit) = -7.6
- symmetry = No. 12

Cell lengths 3.9433, 3.9433, 15.8691 Å; angles 82.96, 82.96, 90.01 degrees
Fractional positions:
Pt: 0.5689 0.0689 0.8595
Pt: 0.4311 0.9311 0.1405
Pt: 0.6986 0.6986 0.6038
Pt: 0.5000 0.5000 0.0000
Pt: 0.9311 0.4311 0.1405
Sn: 0.7874 0.7874 0.4258
Ge: 0.6176 0.6176 0.7608
Sn: 0.2126 0.2126 0.5742
Pt: 0.3014 0.3014 0.3962
Ge: 0.3824 0.3824 0.2392
Er: 0.0000 0.0000 0.0000
Pt: 0.0689 0.5689 0.8595

---

No. 2
Here is AcCo3GeC after structural relaxation from the Alexandria database. Energies are from GGA-PBE.

- ΔE_f (eV per formula unit) = -1.1
- symmetry = No. 63

Cell lengths 5.4296, 6.2647, 6.2739 Å; angles 119.95, 90.00, 90.00 degrees
Fractional positions:
Ac: 0.7500 0.2498 0.4997
Ge: 0.7500 0.5796 0.1591
Co: 0.5000 0.7998 0.0000
Co: 0.7500 0.8047 0.6094
Co: 0.0000 0.7998 0.0000
C: 0.7500 0.9717 0.9434
Co: 0.5000 0.2002 0.0000
C: 0.2500 0.0283 0.0566
Ge: 0.2500 0.4204 0.8409
Co: 0.2500 0.1953 0.3906
Co: 0.0000 0.2002 0.0000
Ac: 0.2500 0.7502 0.5003

---

No. 3
Here is TiAl2Au8 after structural relaxation from the Alexandria database. Energies are from GGA-PBE.

- ΔE_f (eV per formula unit) = -2.5
- symmetry = No. 12

Cell lengths 4.4182, 6.8981, 6.8981 Å; angles 105.54, 97.04, 97.04 degrees
Fractional positions:
Au: 0.4341 0.6635 0.6635
Au: 0.5000 0.7500 0.2500
Al: 0.0000 0.3646 0.6354
Au: 0.5000 0.2500 0.7500
Al: 0.0000 0.6354 0.3646
Au: 0.0413 0.0440 0.3076
Au: 0.5659 0.3365 0.3365
Au: 0.9587 0.6924 0.9560
Ti: 0.5000 0.0000 0.0000
Au: 0.9587 0.9560 0.6924
Au: 0.0413 0.3076 0.0440

---

No. 4
Here is Cs2NdErSe4 after structural relaxation from the Alexandria database. Energies are from GGA-PBE.

- formation energy (no corrections) (kJ per mole of atoms) = -165.75
- symmetry = No. 10

Cell lengths 4.3196, 7.4852, 8.7521 Å; angles 106.53, 90.00, 90.00 degrees
Fractional positions:
Se: 0.5000 0.7803 0.8146
Cs: 0.5000 0.0000 0.5000
Nd: 0.5000 0.5000 0.0000
Se: 0.5000 0.2197 0.1854
Cs: 0.0000 0.5000 0.5000
Er: 0.0000 0.0000 0.0000
Se: 0.0000 0.2613 0.8111
Se: 0.0000 0.7387 0.1889

---

Number 1: raw total energy -5.97 eV/atom. Number 2: raw total energy -6.72 eV/atom. Number 3: raw total energy -4.01 eV/atom. Number 4: raw total energy -4.84 eV/atom.